No. 1
This record from Alexandria via LeMat-Bulk describes crystalline TbPr3Sm2S6 at its relaxed geometry. The functional is GGA-PBE.

```
TbPr3Sm2S6
1.0
6.9920 -0.0105 -0.0011
-3.5034 6.0510 -0.0011
-1.1648 -2.0169 6.6366
Pr Sm S Tb
3 2 6 1
direct
0.8312 0.1688 0.5000
0.1688 0.8312 0.5000
0.5000 0.5000 0.5000
0.6668 0.3332 0.0000
0.3332 0.6668 0.0000
0.4078 0.0791 0.2379
0.0791 0.4078 0.2379
0.7513 0.7513 0.2399
0.2487 0.2487 0.7601
0.9209 0.5922 0.7621
0.5922 0.9209 0.7621
0.0000 0.0000 0.0000
```

## Properties
- energy (eV per atom) = -6.46
- energy relative to the elements, uncorrected (kJ/mol of formula units) = -2344
- density of states at the Fermi level (states/eV/f.u.) = 5.36
- crystal system = monoclinic

No. 2
This record from Alexandria via LeMat-Bulk describes crystalline Tb3PrSm2S6 at its relaxed geometry. The functional is GGA-PBE.

```
Tb3PrSm2S6
1.0
-2.6146 -5.4508 -3.3071
3.9405 -0.8973 5.5813
-5.7597 2.3707 3.0332
Tb S Sm Pr
3 6 2 1
direct
0.1647 0.8353 0.5000
0.8353 0.1647 0.5000
0.5000 0.5000 0.5000
0.0871 0.4252 0.2610
0.4252 0.0871 0.2610
0.9129 0.5748 0.7390
0.2515 0.2515 0.7405
0.5748 0.9129 0.7390
0.7485 0.7485 0.2595
0.3336 0.6664 0.0000
0.6664 0.3336 0.0000
0.0000 0.0000 0.0000
```

## Properties
- energy (eV per atom) = -6.43
- energy relative to the elements, uncorrected (kJ/mol of formula units) = -2339
- density of states at the Fermi level (states/eV/f.u.) = 5.27
- crystal system = monoclinic

No. 3
This record from Alexandria via LeMat-Bulk describes crystalline Tb2PrSmS4 at its relaxed geometry. The functional is GGA-PBE.

```
Tb2PrSmS4
1.0
3.9454 0.0000 0.0000
0.0000 6.9906 -0.1904
0.0000 2.4097 6.4627
Tb S Pr Sm
2 4 1 1
direct
0.0000 0.0000 0.0000
0.5000 0.0000 0.5000
0.0000 0.7639 0.7416
0.0000 0.2361 0.2584
0.5000 0.7611 0.2498
0.5000 0.2389 0.7502
0.5000 0.5000 0.0000
0.0000 0.5000 0.5000
```

## Properties
- energy (eV per atom) = -6.42
- energy relative to the elements, uncorrected (kJ/mol of formula units) = -1556
- density of states at the Fermi level (states/eV/f.u.) = 4.65
- crystal system = monoclinic

No. 4
This record from Alexandria via LeMat-Bulk describes crystalline Tb2Pr3SmS6 at its relaxed geometry. The functional is GGA-PBE.

```
Tb2Pr3SmS6
1.0
-5.7205 -3.5731 -1.7044
6.1009 -1.5513 -2.9611
1.1316 -2.6229 6.4245
Pr S Sm Tb
3 6 1 2
direct
0.1646 0.8354 0.5000
0.8354 0.1646 0.5000
0.5000 0.5000 0.5000
0.4167 0.0787 0.2365
0.2599 0.2599 0.7653
0.9213 0.5833 0.7635
0.5833 0.9213 0.7635
0.0787 0.4167 0.2365
0.7401 0.7401 0.2347
0.0000 0.0000 0.0000
0.6665 0.3335 0.0000
0.3335 0.6665 0.0000
```

## Properties
- energy (eV per atom) = -6.45
- energy relative to the elements, uncorrected (kJ/mol of formula units) = -2343
- density of states at the Fermi level (states/eV/f.u.) = 5.47
- crystal system = monoclinic